(1)
The following is a PBE-GGA calculation of an optimized crystal structure of Tm4CoRu, from the Alexandria database.

* DFT total energy: -6.03 eV/atom
* D(E_F): 0.85 states/eV/atom

Lattice parameters (Å, degrees): 7.716 7.716 6.018 108.33 108.33 111.28
Sites, in units of the cell vectors:
Tm 0.049 0.692 0.902
Tm 0.240 0.363 0.728
Tm 0.308 0.951 0.598
Tm 0.363 0.240 0.228
Tm 0.637 0.760 0.772
Tm 0.692 0.049 0.402
Tm 0.760 0.637 0.272
Tm 0.951 0.308 0.098
Co 0.001 0.999 0.750
Co 0.999 0.001 0.250
Ru 0.365 0.635 0.250
Ru 0.635 0.365 0.750

(2)
The following is a PBE-GGA calculation of an optimized crystal structure of Tm3Co8Ru, from the Alexandria database.

* DFT total energy: -6.79 eV/atom
* D(E_F): 1.30 states/eV/atom

Lattice parameters (Å, degrees): 8.591 8.591 8.591 33.48 33.48 33.48
Sites, in units of the cell vectors:
Tm 0.000 0.000 0.000
Tm 0.129 0.129 0.129
Tm 0.512 0.512 0.512
Co 0.063 0.566 0.566
Co 0.068 0.068 0.571
Co 0.068 0.571 0.068
Co 0.317 0.317 0.317
Co 0.566 0.063 0.566
Co 0.566 0.566 0.063
Co 0.571 0.068 0.068
Co 0.817 0.817 0.817
Ru 0.633 0.633 0.633

(3)
The following is a PBE-GGA calculation of an optimized crystal structure of Tm6CoRu5, from the Alexandria database.

* DFT total energy: -7.08 eV/atom
* D(E_F): 1.13 states/eV/atom

Lattice parameters (Å, degrees): 8.178 8.178 8.178 146.29 131.70 60.19
Sites, in units of the cell vectors:
Tm 0.083 0.334 0.750
Tm 0.249 0.000 0.249
Tm 0.416 0.666 0.750
Tm 0.584 0.334 0.250
Tm 0.751 0.000 0.751
Tm 0.917 0.666 0.250
Co 0.000 0.500 0.500
Ru 0.166 0.166 0.000
Ru 0.334 0.834 0.500
Ru 0.500 0.500 0.000
Ru 0.666 0.166 0.500
Ru 0.834 0.834 0.000

(4)
The following is a PBE-GGA calculation of an optimized crystal structure of Tm2CoRu3, from the Alexandria database.

* DFT total energy: -7.65 eV/atom
* D(E_F): 0.98 states/eV/atom

Lattice parameters (Å, degrees): 5.218 5.218 5.218 60.38 60.38 60.38
Sites, in units of the cell vectors:
Tm 0.125 0.125 0.125
Tm 0.875 0.875 0.875
Co 0.500 0.500 0.500
Ru 0.000 0.500 0.500
Ru 0.500 0.000 0.500
Ru 0.500 0.500 0.000

(5)
The following is a PBE-GGA calculation of an optimized crystal structure of Tm6Co2Ru, from the Alexandria database.

* DFT total energy: -5.80 eV/atom
* D(E_F): 0.69 states/eV/atom

Lattice parameters (Å, degrees): 6.421 6.964 11.168 90.00 122.35 90.00
Sites, in units of the cell vectors:
Tm 0.072 0.038 0.240
Tm 0.072 0.462 0.740
Tm 0.226 0.666 0.078
Tm 0.226 0.834 0.578
Tm 0.396 0.166 0.076
Tm 0.396 0.334 0.576
Tm 0.604 0.666 0.424
Tm 0.604 0.834 0.924
Tm 0.774 0.166 0.422
Tm 0.774 0.334 0.922
Tm 0.928 0.538 0.260
Tm 0.928 0.962 0.760
Co 0.330 0.146 0.798
Co 0.330 0.354 0.298
Co 0.670 0.646 0.702
Co 0.670 0.854 0.202
Ru 0.500 0.000 0.500
Ru 0.500 0.500 0.000

(6)
The following is a PBE-GGA calculation of an optimized crystal structure of Tm8Co2Ru, from the Alexandria database.

* DFT total energy: -5.60 eV/atom
* D(E_F): 1.01 states/eV/atom

Lattice parameters (Å, degrees): 8.729 8.729 6.606 106.89 106.89 32.25
Sites, in units of the cell vectors:
Tm 0.035 0.035 0.294
Tm 0.201 0.201 0.819
Tm 0.328 0.328 0.528
Tm 0.405 0.405 0.047
Tm 0.595 0.595 0.953
Tm 0.672 0.672 0.472
Tm 0.799 0.799 0.181
Tm 0.965 0.965 0.706
Co 0.186 0.186 0.200
Co 0.814 0.814 0.800
Ru 0.500 0.500 0.500

(7)
The following is a PBE-GGA calculation of an optimized crystal structure of Tm6Co2Ru, from the Alexandria database.

* DFT total energy: -5.86 eV/atom
* D(E_F): 0.87 states/eV/atom

Lattice parameters (Å, degrees): 8.037 8.037 8.037 110.25 110.12 108.06
Sites, in units of the cell vectors:
Tm 0.015 0.828 0.187
Tm 0.260 0.324 0.584
Tm 0.260 0.676 0.936
Tm 0.261 0.574 0.313
Tm 0.261 0.948 0.687
Tm 0.359 0.172 0.187
Tm 0.641 0.828 0.813
Tm 0.739 0.052 0.313
Tm 0.739 0.426 0.687
Tm 0.740 0.324 0.064
Tm 0.740 0.676 0.416
Tm 0.985 0.172 0.813
Co 0.000 0.163 0.163
Co 0.000 0.837 0.837
Co 0.385 0.385 0.000
Co 0.615 0.615 0.000
Ru 0.000 0.500 0.500
Ru 0.500 0.000 0.500

(8)
The following is a PBE-GGA calculation of an optimized crystal structure of Tm2CoRu, from the Alexandria database.

* DFT total energy: -6.66 eV/atom
* D(E_F): 0.73 states/eV/atom

Lattice parameters (Å, degrees): 3.331 3.331 6.601 90.00 90.00 90.00
Sites, in units of the cell vectors:
Tm 0.000 0.000 0.249
Tm 0.000 0.000 0.751
Co 0.500 0.500 0.000
Ru 0.500 0.500 0.500

Among the records above, which one has the lowest D(E_F)?
number 5

Number 7 is which compound?
Tm6Co2Ru

What is the DFT total energy in the fifth record?
-5.80 eV/atom

Among the records above, which one has the lowest D(E_F)?
number 5